1.
The following is a DFT calculation (PBE) of crystalline K2TaSeO at its relaxed geometry.

Cell lengths 6.685, 6.685, 4.858 Å; angles 90.00, 90.00, 90.00 degrees
Element x y z (fractional)
1 K 0.000 0.500 0.000
2 K 0.500 0.000 0.000
3 Ta 0.000 0.000 0.000
4 Se 0.000 0.000 0.500
5 O 0.500 0.500 0.500

The uncorrected formation energy comes out at 65 kJ/mol of atoms. The value obtained for the density is 2.71 g/cm3. For the volume, the calculation gives 43.4 Å³ per atom.


2.
The following is a DFT calculation (PBE) of crystalline PmYN at its relaxed geometry.

Cell lengths 6.114, 6.114, 6.114 Å; angles 90.00, 90.00, 90.00 degrees
Element x y z (fractional)
1 Pm 0.000 0.000 0.000
2 Pm 0.000 0.500 0.500
3 Pm 0.500 0.000 0.500
4 Pm 0.500 0.500 0.000
5 Y 0.000 0.000 0.500
6 Y 0.000 0.500 0.000
7 Y 0.500 0.000 0.000
8 Y 0.500 0.500 0.500
9 N 0.250 0.250 0.750
10 N 0.250 0.750 0.250
11 N 0.750 0.250 0.250
12 N 0.750 0.750 0.750

The polymorph energy (0 for the lowest one) is 640.4 meV/atom. The uncorrected formation energy comes out at -31 kJ/mol of atoms. The value obtained for the density is 7.21 g/cm3. For the volume, the calculation gives 19.0 Å³ per atom.


3.
The following is a DFT calculation (PBE) of crystalline ZnCuOs at its relaxed geometry.

Cell lengths 2.563, 3.915, 8.125 Å; angles 90.00, 90.00, 90.00 degrees
Element x y z (fractional)
1 Zn 0.000 0.000 0.000
2 Zn 0.500 0.500 0.500
3 Cu 0.000 0.000 0.666
4 Cu 0.500 0.500 0.166
5 Os 0.000 0.000 0.330
6 Os 0.500 0.500 0.830

The polymorph energy (0 for the lowest one) is 298.0 meV/atom. The value obtained for the density is 13.00 g/cm3. The energy of formation comes out at 0.31 eV per atom. For the volume, the calculation gives 13.6 Å³ per atom.


4.
The following is a DFT calculation (PBE) of crystalline ReSeN2F at its relaxed geometry.

Cell lengths 3.935, 3.935, 4.155 Å; angles 90.00, 90.00, 90.00 degrees
Element x y z (fractional)
1 Re 0.000 0.000 0.000
2 Se 0.500 0.500 0.500
3 N 0.000 0.500 0.000
4 N 0.500 0.000 0.000
5 F 0.000 0.000 0.500

The polymorph energy (0 for the lowest one) is 143.7 meV/atom. The uncorrected formation energy comes out at 45 kJ/mol of atoms. The value obtained for the density is 8.06 g/cm3. For the volume, the calculation gives 12.9 Å³ per atom.


5.
The following is a DFT calculation (PBE) of crystalline NaYTlGe at its relaxed geometry.

Cell lengths 7.341, 7.341, 7.341 Å; angles 90.00, 90.00, 90.00 degrees
Element x y z (fractional)
1 Na 0.000 0.000 0.000
2 Na 0.000 0.500 0.500
3 Na 0.500 0.000 0.500
4 Na 0.500 0.500 0.000
5 Y 0.000 0.000 0.500
6 Y 0.000 0.500 0.000
7 Y 0.500 0.000 0.000
8 Y 0.500 0.500 0.500
9 Tl 0.250 0.250 0.750
10 Tl 0.250 0.750 0.250
11 Tl 0.750 0.250 0.250
12 Tl 0.750 0.750 0.750
13 Ge 0.250 0.250 0.250
14 Ge 0.250 0.750 0.750
15 Ge 0.750 0.250 0.750
16 Ge 0.750 0.750 0.250

The value obtained for the density is 6.53 g/cm3. The energy of formation comes out at -0.23 eV per atom. For the volume, the calculation gives 24.7 Å³ per atom.


6.
The following is a DFT calculation (PBE) of crystalline NaThTa4N8 at its relaxed geometry.

Cell lengths 6.481, 6.481, 6.481 Å; angles 59.04, 59.04, 59.04 degrees
Element x y z (fractional)
1 Na 0.000 0.000 0.000
2 Th 0.390 0.390 0.390
3 Ta 0.010 0.010 0.493
4 Ta 0.010 0.493 0.010
5 Ta 0.493 0.010 0.010
6 Ta 0.627 0.627 0.627
7 N 0.243 0.243 0.243
8 N 0.248 0.248 0.814
9 N 0.248 0.814 0.248
10 N 0.254 0.737 0.737
11 N 0.737 0.254 0.737
12 N 0.737 0.737 0.254
13 N 0.761 0.761 0.761
14 N 0.814 0.248 0.248

The uncorrected formation energy comes out at -93 kJ/mol of atoms. The value obtained for the density is 9.62 g/cm3. For the volume, the calculation gives 13.4 Å³ per atom.


7.
The following is a DFT calculation (PBE) of crystalline Hf2Sn2H at its relaxed geometry.

Cell lengths 7.689, 7.689, 7.817 Å; angles 90.00, 90.00, 155.12 degrees
Element x y z (fractional)
1 Hf 0.048 0.952 0.500
2 Hf 0.375 0.625 0.312
3 Hf 0.625 0.375 0.812
4 Hf 0.952 0.048 0.000
5 Sn 0.274 0.726 0.969
6 Sn 0.411 0.589 0.681
7 Sn 0.589 0.411 0.181
8 Sn 0.726 0.274 0.469
9 H 0.060 0.940 0.763
10 H 0.940 0.060 0.263

The polymorph energy (0 for the lowest one) is 0.0 meV/atom. The value obtained for the density is 10.17 g/cm3. For the volume, the calculation gives 19.4 Å³ per atom.


8.
The following is a DFT calculation (PBE) of crystalline SbSeF2 at its relaxed geometry.

Cell lengths 3.101, 3.101, 28.222 Å; angles 90.00, 90.00, 120.00 degrees
Element x y z (fractional)
1 Sb 0.000 0.000 0.000
2 Sb 0.333 0.667 0.667
3 Sb 0.667 0.333 0.333
4 Se 0.000 0.000 0.500
5 Se 0.333 0.667 0.167
6 Se 0.667 0.333 0.833
7 F 0.000 0.000 0.071
8 F 0.000 0.000 0.929
9 F 0.333 0.667 0.595
10 F 0.333 0.667 0.738
11 F 0.667 0.333 0.262
12 F 0.667 0.333 0.405

The polymorph energy (0 for the lowest one) is 162.6 meV/atom. The uncorrected formation energy comes out at -85 kJ/mol of atoms. The value obtained for the density is 5.06 g/cm3. For the volume, the calculation gives 19.6 Å³ per atom.


9.
The following is a DFT calculation (PBE) of crystalline Ti2NbPb at its relaxed geometry.

Cell lengths 7.550, 7.550, 5.724 Å; angles 90.00, 90.00, 90.00 degrees
Element x y z (fractional)
1 Ti 0.226 0.750 0.125
2 Ti 0.250 0.226 0.875
3 Ti 0.250 0.274 0.375
4 Ti 0.274 0.750 0.625
5 Ti 0.726 0.250 0.625
6 Ti 0.750 0.726 0.375
7 Ti 0.750 0.774 0.875
8 Ti 0.774 0.250 0.125
9 Nb 0.000 0.000 0.000
10 Nb 0.000 0.500 0.250
11 Nb 0.500 0.000 0.750
12 Nb 0.500 0.500 0.500
13 Pb 0.000 0.000 0.500
14 Pb 0.000 0.500 0.750
15 Pb 0.500 0.000 0.250
16 Pb 0.500 0.500 0.000

The value obtained for the density is 8.06 g/cm3. The energy of formation comes out at 0.53 eV per atom. For the volume, the calculation gives 20.4 Å³ per atom.


10.
The following is a DFT calculation (PBE) of crystalline CaPrAlZn at its relaxed geometry.

Cell lengths 7.452, 7.452, 7.452 Å; angles 90.00, 90.00, 90.00 degrees
Element x y z (fractional)
1 Ca 0.000 0.000 0.000
2 Ca 0.000 0.500 0.500
3 Ca 0.500 0.000 0.500
4 Ca 0.500 0.500 0.000
5 Pr 0.000 0.000 0.500
6 Pr 0.000 0.500 0.000
7 Pr 0.500 0.000 0.000
8 Pr 0.500 0.500 0.500
9 Al 0.250 0.250 0.750
10 Al 0.250 0.750 0.250
11 Al 0.750 0.250 0.250
12 Al 0.750 0.750 0.750
13 Zn 0.250 0.250 0.250
14 Zn 0.250 0.750 0.750
15 Zn 0.750 0.250 0.750
16 Zn 0.750 0.750 0.250

The value obtained for the density is 4.39 g/cm3. The energy of formation comes out at -0.29 eV per atom. For the volume, the calculation gives 25.9 Å³ per atom.


11.
The following is a DFT calculation (PBE) of crystalline Ga2SiI at its relaxed geometry.

Cell lengths 7.226, 7.226, 7.226 Å; angles 90.00, 90.00, 90.00 degrees
Element x y z (fractional)
1 Ga 0.250 0.250 0.250
2 Ga 0.250 0.250 0.750
3 Ga 0.250 0.750 0.250
4 Ga 0.250 0.750 0.750
5 Ga 0.750 0.250 0.250
6 Ga 0.750 0.250 0.750
7 Ga 0.750 0.750 0.250
8 Ga 0.750 0.750 0.750
9 Si 0.000 0.000 0.000
10 Si 0.000 0.500 0.500
11 Si 0.500 0.000 0.500
12 Si 0.500 0.500 0.000
13 I 0.000 0.000 0.500
14 I 0.000 0.500 0.000
15 I 0.500 0.000 0.000
16 I 0.500 0.500 0.500

The polymorph energy (0 for the lowest one) is 352.4 meV/atom. The uncorrected formation energy comes out at 48 kJ/mol of atoms. The value obtained for the density is 5.18 g/cm3. For the volume, the calculation gives 23.6 Å³ per atom.


12.
The following is a DFT calculation (PBE) of crystalline Ac3SnP2Pt9 at its relaxed geometry.

Cell lengths 7.324, 7.324, 7.149 Å; angles 90.00, 90.00, 120.00 degrees
Element x y z (fractional)
1 Ac 0.000 0.000 0.000
2 Ac 0.333 0.667 0.665
3 Ac 0.667 0.333 0.335
4 Sn 0.000 0.000 0.500
5 P 0.333 0.667 0.131
6 P 0.667 0.333 0.869
7 Pt 0.000 0.500 0.000
8 Pt 0.183 0.367 0.319
9 Pt 0.183 0.817 0.319
10 Pt 0.367 0.183 0.681
11 Pt 0.500 0.000 0.000
12 Pt 0.500 0.500 0.000
13 Pt 0.633 0.817 0.319
14 Pt 0.817 0.183 0.681
15 Pt 0.817 0.633 0.681

The value obtained for the density is 13.09 g/cm3. The energy of formation comes out at -0.74 eV per atom. For the volume, the calculation gives 22.1 Å³ per atom.